# 1
Entry from Alexandria via LeMat-Bulk: a crystal of SrCaCo4 relaxed with PBEsol (SCAN).

Values from the calculation:
As for the space group: F-43m (216). The value obtained for the formation enthalpy at 0 K is 0.3727 eV per atom.

a b c (Å): 5.0916 5.0916 5.0916
angles (deg): 60.00 60.00 60.00
Last column: nearest neighbours and their distance in Å.
Fractional positions:
Sr: 0.0000 0.0000 0.0000  12 Co 2.99, 4 Ca 3.12
Ca: 0.2500 0.2500 0.2500  12 Co 2.98, 4 Sr 3.12
Co: 0.1267 0.6244 0.6244  6 Co 2.53-2.56
Co: 0.6244 0.1267 0.6244  6 Co 2.53-2.56
Co: 0.6244 0.6244 0.1267  6 Co 2.53-2.56
Co: 0.6244 0.6244 0.6244  6 Co 2.53-2.56



# 2
Entry from Alexandria via LeMat-Bulk: a crystal of RbHRh2S relaxed with PBEsol (SCAN).

Values from the calculation:
As for the total energy: -18.31 eV per atom. As for the space group: P4/mmm (123).

a b c (Å): 4.8759 4.8759 3.4228
angles (deg): 90.00 90.00 90.00
Last column: nearest neighbours and their distance in Å.
Fractional positions:
Rb: 0.0000 0.0000 0.0000  2 H 1.71
H: 0.0000 0.0000 0.5000  2 Rb 1.71
Rh: 0.0000 0.5000 0.0000  2 Rb 2.44
Rh: 0.5000 0.0000 0.0000  2 Rb 2.44
S: 0.5000 0.5000 0.5000  8 Rh 2.98



no.,density of states at the Fermi level (states/eV per cell)
1,5.48
2,4.80